# 1
# Ti3HgC

An optimized crystal structure of Ti3HgC (PBE-GGA, Alexandria).

Unit cell a=4.963 b=4.963 c=4.963 alpha=90.00 beta=90.00 gamma=90.00
Atoms (fractional coordinates):
Ti 0.000 0.500 0.000
Ti 0.000 0.000 0.500
Ti 0.500 0.000 0.000
C 0.500 0.500 0.500
Hg 0.000 0.000 0.000

Energy of formation from the pure elements: 52.42 kcal/mol of atoms



# 2
# Ti4HgC2

An optimized crystal structure of Ti4HgC2 (PBE-GGA, Alexandria).

Unit cell a=3.100 b=3.100 c=12.141 alpha=82.67 beta=82.67 gamma=60.00
Atoms (fractional coordinates):
Ti 0.869 0.869 0.393
Ti 0.131 0.131 0.607
Ti 0.734 0.734 0.797
Ti 0.266 0.266 0.203
C 0.432 0.432 0.704
C 0.568 0.568 0.296
Hg 0.000 0.000 0.000

Energy of formation from the pure elements: -13.49 kcal/mol of atoms



# 3
# TiHgC3

An optimized crystal structure of TiHgC3 (PBE-GGA, Alexandria).

Unit cell a=4.142 b=4.142 c=4.142 alpha=90.00 beta=90.00 gamma=90.00
Atoms (fractional coordinates):
C 0.500 0.000 0.000
C 0.000 0.500 0.000
C 0.000 0.000 0.500
Hg 0.500 0.500 0.500
Ti 0.000 0.000 0.000

Energy of formation from the pure elements: 46.23 kcal/mol of atoms



# 4
# Ti3HgC

An optimized crystal structure of Ti3HgC (PBE-GGA, Alexandria).

Unit cell a=4.312 b=4.312 c=11.756 alpha=79.43 beta=79.43 gamma=90.00
Atoms (fractional coordinates):
Ti 0.110 0.878 0.245
Ti 0.646 0.878 0.245
Ti 0.122 0.354 0.755
Ti 0.122 0.890 0.755
Ti 0.323 0.323 0.355
Ti 0.677 0.677 0.645
Hg 0.000 0.000 0.000
Hg 0.250 0.750 0.500
C 0.860 0.360 0.280
C 0.640 0.140 0.720

Energy of formation from the pure elements: 18.21 kcal/mol of atoms



# 5
# Ti3HgC

An optimized crystal structure of Ti3HgC (PBE-GGA, Alexandria).

Unit cell a=4.483 b=5.411 c=7.850 alpha=90.00 beta=124.83 gamma=90.00
Atoms (fractional coordinates):
Ti 0.113 0.993 0.863
Ti 0.113 0.507 0.863
Ti 0.887 0.493 0.137
Ti 0.677 0.250 0.427
Ti 0.887 0.007 0.137
Ti 0.323 0.750 0.573
Hg 0.511 0.750 0.261
Hg 0.489 0.250 0.739
C 0.131 0.250 0.381
C 0.869 0.750 0.619

Energy of formation from the pure elements: 1.84 kcal/mol of atoms



# 6
# Ti3HgC

An optimized crystal structure of Ti3HgC (PBE-GGA, Alexandria).

Unit cell a=5.437 b=5.437 c=5.437 alpha=89.24 beta=89.24 gamma=89.24
Atoms (fractional coordinates):
Ti 0.008 0.492 0.750
Ti 0.992 0.508 0.250
Ti 0.250 0.992 0.508
Ti 0.750 0.008 0.492
Ti 0.508 0.250 0.992
Ti 0.492 0.750 0.008
C 0.250 0.250 0.250
C 0.750 0.750 0.750
Hg 0.000 0.000 0.000
Hg 0.500 0.500 0.500

Energy of formation from the pure elements: 4.78 kcal/mol of atoms